YTcSCl2: relaxed, GGA-PBE.

The structure belongs to space group P4/mmm (No. 123); the cell edges are 4.738, 4.738 and 4.682 Å and the angles 90.00°, 90.00° and 90.00°. The distinct sites, in fractional coordinates, are Y at (0.000, 0.000, 0.000), Tc at (0.500, 0.500, 0.500), S at (0.500, 0.500, 0.000) and Cl at (0.000, 0.500, 0.500).

The calculation puts the relative energy among the computed polymorphs at 0.00 eV/f.u. The uncorrected formation energy comes out at -1.962 eV per formula unit.